(1)
HfB3Ru | PBE | relaxed

The structure in POSCAR format:
```
HfB3Ru
1.0
4.157 0.000 0.000
0.000 4.157 0.000
0.000 0.000 4.157
Hf B Ru
1 3 1
Cartesian
0.000 0.000 0.000
0.000 0.000 2.079
0.000 2.079 0.000
2.079 0.000 0.000
2.079 2.079 2.079
```

## Properties
The value obtained for the calculated formation energy is 2.05 eV/atom. Its symmetry is Pm-3m. The calculation puts the total magnetization at 0.00 μB per atom. The value obtained for the distance to the lowest polymorph of the same formula is 1446.5 meV per atom.

=====

(2)
SrAlO | PBE | relaxed

The structure in POSCAR format:
```
SrAlO
1.0
2.528 -2.528 0.000
2.528 2.528 0.000
-0.069 0.000 10.090
Sr Al O
2 2 2
Cartesian
1.229 0.000 2.129
3.758 0.000 7.962
1.229 0.000 5.571
3.757 0.000 4.520
1.230 0.000 7.390
3.756 0.000 2.700
```

## Properties
Its symmetry is C2/m. The calculation puts the total magnetization at 0.00 μB per atom. As for the formation energy (no corrections): -1.710 eV per atom.

=====

(3)
Mg2GeSe | PBE | relaxed

The structure in POSCAR format:
```
Mg2GeSe
1.0
1.858 1.073 8.362
-1.858 1.073 8.362
0.000 -2.146 8.362
Mg Ge Se
2 1 1
Cartesian
0.000 0.000 2.465
0.000 0.000 22.619
0.000 0.000 12.542
0.000 0.000 0.000
```

## Properties
Its symmetry is R-3m. The calculation puts the total magnetization at 0.00 μB per atom. As for the formation energy (no corrections): -0.106 eV per atom. The value obtained for the distance to the lowest polymorph of the same formula is 194.3 meV per atom.

=====

(4)
CaTaAg | PBE | relaxed

The structure in POSCAR format:
```
CaTaAg
1.0
3.072 0.000 0.000
-1.536 2.660 0.000
0.000 0.000 7.846
Ca Ta Ag
1 1 1
Cartesian
0.000 0.000 0.000
1.536 0.887 2.759
0.000 1.774 5.154
```

## Properties
The value obtained for the calculated formation energy is 0.56 eV/atom. Its symmetry is P3m1. The calculation puts the total magnetization at 0.00 μB per atom. The value obtained for the distance to the lowest polymorph of the same formula is 435.6 meV per atom.